# 1
First-principles (meta-GGA SCAN) data for a PBEsol-optimized structure of PPb2Se, as listed in Alexandria.

```
data_PPb2Se
_cell_length_a 4.160
_cell_length_b 4.160
_cell_length_c 5.943
_cell_angle_alpha 90.00
_cell_angle_beta 90.00
_cell_angle_gamma 90.00
_space_group_name_H-M_alt 'P 4/m m m'
_space_group_IT_number 123
_space_group_name_Hall '-P 4 2'
loop_
_atom_site_label
_atom_site_type_symbol
_atom_site_fract_x
_atom_site_fract_y
_atom_site_fract_z
P1 P 0.000 0.000 0.000
Pb1 Pb 0.000 0.000 0.500
Pb2 Pb 0.500 0.500 0.000
Se1 Se 0.500 0.500 0.500
```

Results
Its calculated density is 8.46 g/cm³. For the energy relative to the elements, uncorrected, the calculation gives -0.116 eV per atom. The value obtained for the total magnetization is 0.00 Bohr magnetons per cell.

---

# 2
First-principles (meta-GGA SCAN) data for a PBEsol-optimized structure of In2ReSb, as listed in Alexandria.

```
data_In2ReSb
_cell_length_a 6.244
_cell_length_b 8.691
_cell_length_c 2.968
_cell_angle_alpha 90.00
_cell_angle_beta 90.00
_cell_angle_gamma 90.00
_space_group_name_H-M_alt 'C m m m'
_space_group_IT_number 65
_space_group_name_Hall '-C 2 2'
loop_
_atom_site_label
_atom_site_type_symbol
_atom_site_fract_x
_atom_site_fract_y
_atom_site_fract_z
In1 In 0.250 0.250 0.000
Re1 Re 0.000 0.000 0.500
Sb1 Sb 0.000 0.500 0.500
```

Results
Its calculated density is 11.09 g/cm³. For the energy relative to the elements, uncorrected, the calculation gives 0.751 eV per atom. The value obtained for the total magnetization is 0.00 Bohr magnetons per cell.

---

# 3
First-principles (meta-GGA SCAN) data for a PBEsol-optimized structure of Na6Ge2S7, as listed in Alexandria.

```
data_Na6Ge2S7
_cell_length_a 8.988
_cell_length_b 10.411
_cell_length_c 14.985
_cell_angle_alpha 90.00
_cell_angle_beta 104.51
_cell_angle_gamma 90.00
_space_group_name_H-M_alt 'C 1 2/c 1'
_space_group_IT_number 15
_space_group_name_Hall '-C 2yc'
loop_
_atom_site_label
_atom_site_type_symbol
_atom_site_fract_x
_atom_site_fract_y
_atom_site_fract_z
Na1 Na 0.000 0.000 0.000
Na2 Na 0.000 0.080 0.250
Na3 Na 0.117 0.355 0.575
Na4 Na 0.228 0.221 0.861
Ge1 Ge 0.157 0.418 0.361
S1 S 0.000 0.462 0.750
S2 S 0.052 0.241 0.396
S3 S 0.129 0.126 0.680
S4 S 0.196 0.436 0.972
```

Results
Its calculated density is 2.48 g/cm³. For the energy relative to the elements, uncorrected, the calculation gives -1.077 eV per atom. The value obtained for the total magnetization is 0.00 Bohr magnetons per cell.